This record from the Alexandria database describes a relaxed HfBe2Re2 crystal. The functional is GGA-PBEsol.

Output
DFT formation energy: -0.30 eV per atom

Cell and atoms, written as CIF:
```
data_HfBe2Re2
_space_group_name_H-M_alt 'P 4/m b m'
_space_group_IT_number 127
_space_group_name_Hall '-P 4 2ab'
_cell_length_a 6.2703
_cell_length_b 6.2703
_cell_length_c 3.2058
_cell_angle_alpha 90.00
_cell_angle_beta 90.00
_cell_angle_gamma 90.00
loop_
_atom_site_label
_atom_site_fract_x
_atom_site_fract_y
_atom_site_fract_z
Hf1 0.0000 0.0000 0.0000
Be1 0.1148 0.3852 0.0000
Re1 0.1723 0.6723 0.5000
```

=====

This record from the Alexandria database describes a relaxed Hf2Be2Re crystal. The functional is GGA-PBEsol.

Output
DFT formation energy: -0.23 eV per atom

Cell and atoms, written as CIF:
```
data_Hf2Be2Re
_space_group_name_H-M_alt 'P 4/m b m'
_space_group_IT_number 127
_space_group_name_Hall '-P 4 2ab'
_cell_length_a 6.4291
_cell_length_b 6.4291
_cell_length_c 3.4598
_cell_angle_alpha 90.00
_cell_angle_beta 90.00
_cell_angle_gamma 90.00
loop_
_atom_site_label
_atom_site_fract_x
_atom_site_fract_y
_atom_site_fract_z
Hf1 0.1836 0.3164 0.0000
Be1 0.1165 0.6165 0.5000
Re1 0.0000 0.0000 0.5000
```

=====

This record from the Alexandria database describes a relaxed HfBeRh3 crystal. The functional is GGA-PBEsol.

Output
DFT formation energy: 1.26 eV per atom

Cell and atoms, written as CIF:
```
data_HfBeRh3
_space_group_name_H-M_alt 'P m -3 m'
_space_group_IT_number 221
_space_group_name_Hall '-P 4 2 3'
_cell_length_a 4.6454
_cell_length_b 4.6454
_cell_length_c 4.6454
_cell_angle_alpha 90.00
_cell_angle_beta 90.00
_cell_angle_gamma 90.00
loop_
_atom_site_label
_atom_site_fract_x
_atom_site_fract_y
_atom_site_fract_z
Hf1 0.0000 0.0000 0.0000
Be1 0.5000 0.5000 0.5000
Rh1 0.0000 0.0000 0.5000
```

=====

This record from the Alexandria database describes a relaxed HfBe2Rh2 crystal. The functional is GGA-PBEsol.

Output
DFT formation energy: -0.65 eV per atom

Cell and atoms, written as CIF:
```
data_HfBe2Rh2
_space_group_name_H-M_alt 'P 4/m b m'
_space_group_IT_number 127
_space_group_name_Hall '-P 4 2ab'
_cell_length_a 6.6245
_cell_length_b 6.6245
_cell_length_c 2.8258
_cell_angle_alpha 90.00
_cell_angle_beta 90.00
_cell_angle_gamma 90.00
loop_
_atom_site_label
_atom_site_fract_x
_atom_site_fract_y
_atom_site_fract_z
Hf1 0.0000 0.0000 0.0000
Be1 0.1160 0.3840 0.0000
Rh1 0.1731 0.6731 0.5000
```

=====

This record from the Alexandria database describes a relaxed HfBeTcRh2 crystal. The functional is GGA-PBEsol.

Output
DFT formation energy: 0.78 eV per atom

Cell and atoms, written as CIF:
```
data_HfBeTcRh2
_space_group_name_H-M_alt 'P 4/m m m'
_space_group_IT_number 123
_space_group_name_Hall '-P 4 2'
_cell_length_a 4.5931
_cell_length_b 4.5931
_cell_length_c 4.0649
_cell_angle_alpha 90.00
_cell_angle_beta 90.00
_cell_angle_gamma 90.00
loop_
_atom_site_label
_atom_site_fract_x
_atom_site_fract_y
_atom_site_fract_z
Hf1 0.0000 0.0000 0.0000
Be1 0.5000 0.5000 0.0000
Tc1 0.5000 0.5000 0.5000
Rh1 0.0000 0.5000 0.5000
```

=====

This record from the Alexandria database describes a relaxed Hf2Be2Ru crystal. The functional is GGA-PBEsol.

Output
DFT formation energy: -0.34 eV per atom

Cell and atoms, written as CIF:
```
data_Hf2Be2Ru
_space_group_name_H-M_alt 'P 4/m b m'
_space_group_IT_number 127
_space_group_name_Hall '-P 4 2ab'
_cell_length_a 6.3911
_cell_length_b 6.3911
_cell_length_c 3.4351
_cell_angle_alpha 90.00
_cell_angle_beta 90.00
_cell_angle_gamma 90.00
loop_
_atom_site_label
_atom_site_fract_x
_atom_site_fract_y
_atom_site_fract_z
Hf1 0.1802 0.3198 0.0000
Be1 0.1172 0.6172 0.5000
Ru1 0.0000 0.0000 0.5000
```

=====

This record from the Alexandria database describes a relaxed Hf2Be2Sb crystal. The functional is GGA-PBEsol.

Cell and atoms, written as CIF:
```
data_Hf2Be2Sb
_space_group_name_H-M_alt 'P 4/m b m'
_space_group_IT_number 127
_space_group_name_Hall '-P 4 2ab'
_cell_length_a 6.3895
_cell_length_b 6.3895
_cell_length_c 3.8086
_cell_angle_alpha 90.00
_cell_angle_beta 90.00
_cell_angle_gamma 90.00
loop_
_atom_site_label
_atom_site_fract_x
_atom_site_fract_y
_atom_site_fract_z
Hf1 0.1734 0.3266 0.0000
Be1 0.1134 0.6134 0.5000
Sb1 0.0000 0.0000 0.5000
```

=====

This record from the Alexandria database describes a relaxed Hf2Be2Sn crystal. The functional is GGA-PBEsol.

Output
DFT formation energy: -0.33 eV per atom

Cell and atoms, written as CIF:
```
data_Hf2Be2Sn
_space_group_name_H-M_alt 'P 4/m b m'
_space_group_IT_number 127
_space_group_name_Hall '-P 4 2ab'
_cell_length_a 6.3581
_cell_length_b 6.3581
_cell_length_c 3.8733
_cell_angle_alpha 90.00
_cell_angle_beta 90.00
_cell_angle_gamma 90.00
loop_
_atom_site_label
_atom_site_fract_x
_atom_site_fract_y
_atom_site_fract_z
Hf1 0.1691 0.3309 0.0000
Be1 0.1157 0.6157 0.5000
Sn1 0.0000 0.0000 0.5000
```

=====

This record from the Alexandria database describes a relaxed Hf2BeSn crystal. The functional is GGA-PBEsol.

Output
DFT formation energy: 0.07 eV per atom

Cell and atoms, written as CIF:
```
data_Hf2BeSn
_space_group_name_H-M_alt 'F m -3 m'
_space_group_IT_number 225
_space_group_name_Hall '-F 4 2 3'
_cell_length_a 6.6596
_cell_length_b 6.6596
_cell_length_c 6.6596
_cell_angle_alpha 90.00
_cell_angle_beta 90.00
_cell_angle_gamma 90.00
loop_
_atom_site_label
_atom_site_fract_x
_atom_site_fract_y
_atom_site_fract_z
Hf1 0.2500 0.2500 0.2500
Be1 0.0000 0.0000 0.0000
Sn1 0.0000 0.0000 0.5000
```

=====

This record from the Alexandria database describes a relaxed SrHfBe3 crystal. The functional is GGA-PBEsol.

Output
DFT formation energy: 2.00 eV per atom

Cell and atoms, written as CIF:
```
data_SrHfBe3
_space_group_name_H-M_alt 'P m -3 m'
_space_group_IT_number 221
_space_group_name_Hall '-P 4 2 3'
_cell_length_a 4.5213
_cell_length_b 4.5213
_cell_length_c 4.5213
_cell_angle_alpha 90.00
_cell_angle_beta 90.00
_cell_angle_gamma 90.00
loop_
_atom_site_label
_atom_site_fract_x
_atom_site_fract_y
_atom_site_fract_z
Sr1 0.0000 0.0000 0.0000
Hf1 0.5000 0.5000 0.5000
Be1 0.0000 0.0000 0.5000
```

=====

This record from the Alexandria database describes a relaxed HfBe3Tc crystal. The functional is GGA-PBEsol.

Output
DFT formation energy: 2.17 eV per atom

Cell and atoms, written as CIF:
```
data_HfBe3Tc
_space_group_name_H-M_alt 'P m -3 m'
_space_group_IT_number 221
_space_group_name_Hall '-P 4 2 3'
_cell_length_a 4.3031
_cell_length_b 4.3031
_cell_length_c 4.3031
_cell_angle_alpha 90.00
_cell_angle_beta 90.00
_cell_angle_gamma 90.00
loop_
_atom_site_label
_atom_site_fract_x
_atom_site_fract_y
_atom_site_fract_z
Hf1 0.0000 0.0000 0.0000
Be1 0.0000 0.0000 0.5000
Tc1 0.5000 0.5000 0.5000
```

=====

This record from the Alexandria database describes a relaxed HfTi2Be crystal. The functional is GGA-PBEsol.

Output
DFT formation energy: 0.36 eV per atom

Cell and atoms, written as CIF:
```
data_HfTi2Be
_space_group_name_H-M_alt 'I -4 2 d'
_space_group_IT_number 122
_space_group_name_Hall 'I -4 2bw'
_cell_length_a 7.0836
_cell_length_b 7.0836
_cell_length_c 5.1871
_cell_angle_alpha 90.00
_cell_angle_beta 90.00
_cell_angle_gamma 90.00
loop_
_atom_site_label
_atom_site_fract_x
_atom_site_fract_y
_atom_site_fract_z
Hf1 0.0000 0.0000 0.0000
Ti1 0.2082 0.2500 0.6250
Be1 0.0000 0.0000 0.5000
```

=====

This record from the Alexandria database describes a relaxed Hf2Be2Tl crystal. The functional is GGA-PBEsol.

Output
DFT formation energy: -0.17 eV per atom

Cell and atoms, written as CIF:
```
data_Hf2Be2Tl
_space_group_name_H-M_alt 'P 4/m b m'
_space_group_IT_number 127
_space_group_name_Hall '-P 4 2ab'
_cell_length_a 6.3457
_cell_length_b 6.3457
_cell_length_c 3.9315
_cell_angle_alpha 90.00
_cell_angle_beta 90.00
_cell_angle_gamma 90.00
loop_
_atom_site_label
_atom_site_fract_x
_atom_site_fract_y
_atom_site_fract_z
Hf1 0.1652 0.3348 0.0000
Be1 0.1187 0.6187 0.5000
Tl1 0.0000 0.0000 0.5000
```

=====

This record from the Alexandria database describes a relaxed Y3HfBe crystal. The functional is GGA-PBEsol.

Output
DFT formation energy: 1.14 eV per atom

Cell and atoms, written as CIF:
```
data_Y3HfBe
_space_group_name_H-M_alt 'P m -3 m'
_space_group_IT_number 221
_space_group_name_Hall '-P 4 2 3'
_cell_length_a 5.4109
_cell_length_b 5.4109
_cell_length_c 5.4109
_cell_angle_alpha 90.00
_cell_angle_beta 90.00
_cell_angle_gamma 90.00
loop_
_atom_site_label
_atom_site_fract_x
_atom_site_fract_y
_atom_site_fract_z
Y1 0.0000 0.0000 0.5000
Hf1 0.0000 0.0000 0.0000
Be1 0.5000 0.5000 0.5000
```

=====

This record from the Alexandria database describes a relaxed Hf2Be2Zn crystal. The functional is GGA-PBEsol.

Output
Energy above the lowest structure with this stoichiometry: 0 meV/atom
DFT formation energy: -0.24 eV per atom

Cell and atoms, written as CIF:
```
data_Hf2Be2Zn
_space_group_name_H-M_alt 'P 4/m b m'
_space_group_IT_number 127
_space_group_name_Hall '-P 4 2ab'
_cell_length_a 6.1159
_cell_length_b 6.1159
_cell_length_c 3.8752
_cell_angle_alpha 90.00
_cell_angle_beta 90.00
_cell_angle_gamma 90.00
loop_
_atom_site_label
_atom_site_fract_x
_atom_site_fract_y
_atom_site_fract_z
Hf1 0.1719 0.3281 0.0000
Be1 0.1263 0.6263 0.5000
Zn1 0.0000 0.0000 0.5000
```

=====

This record from the Alexandria database describes a relaxed Hf2Be2Zn crystal. The functional is GGA-PBEsol.

Output
Energy above the lowest structure with this stoichiometry: 776 meV/atom
DFT formation energy: 0.54 eV per atom

Cell and atoms, written as CIF:
```
data_Hf2Be2Zn
_space_group_name_H-M_alt 'I 4/m m m'
_space_group_IT_number 139
_space_group_name_Hall '-I 4 2'
_cell_length_a 4.0698
_cell_length_b 4.0698
_cell_length_c 10.0281
_cell_angle_alpha 90.00
_cell_angle_beta 90.00
_cell_angle_gamma 90.00
loop_
_atom_site_label
_atom_site_fract_x
_atom_site_fract_y
_atom_site_fract_z
Hf1 0.0000 0.5000 0.2500
Be1 0.0000 0.0000 0.0963
Zn1 0.0000 0.0000 0.5000
```

=====

This record from the Alexandria database describes a relaxed HfZrBe2 crystal. The functional is GGA-PBEsol.

Output
DFT formation energy: -0.10 eV per atom

Cell and atoms, written as CIF:
```
data_HfZrBe2
_space_group_name_H-M_alt 'F m -3 m'
_space_group_IT_number 225
_space_group_name_Hall '-F 4 2 3'
_cell_length_a 6.2183
_cell_length_b 6.2183
_cell_length_c 6.2183
_cell_angle_alpha 90.00
_cell_angle_beta 90.00
_cell_angle_gamma 90.00
loop_
_atom_site_label
_atom_site_fract_x
_atom_site_fract_y
_atom_site_fract_z
Hf1 0.0000 0.0000 0.0000
Zr1 0.0000 0.0000 0.5000
Be1 0.2500 0.2500 0.2500
```

=====

This record from the Alexandria database describes a relaxed HfZr2Be2 crystal. The functional is GGA-PBEsol.

Output
Energy above the lowest structure with this stoichiometry: 528 meV/atom
DFT formation energy: 0.50 eV per atom

Cell and atoms, written as CIF:
```
data_HfZr2Be2
_space_group_name_H-M_alt 'I 4/m m m'
_space_group_IT_number 139
_space_group_name_Hall '-I 4 2'
_cell_length_a 4.1568
_cell_length_b 4.1568
_cell_length_c 10.0757
_cell_angle_alpha 90.00
_cell_angle_beta 90.00
_cell_angle_gamma 90.00
loop_
_atom_site_label
_atom_site_fract_x
_atom_site_fract_y
_atom_site_fract_z
Hf1 0.0000 0.0000 0.0000
Zr1 0.0000 0.0000 0.3675
Be1 0.0000 0.5000 0.2500
```

=====

This record from the Alexandria database describes a relaxed HfZr2Be2 crystal. The functional is GGA-PBEsol.

Output
Energy above the lowest structure with this stoichiometry: 0 meV/atom
DFT formation energy: -0.02 eV per atom

Cell and atoms, written as CIF:
```
data_HfZr2Be2
_space_group_name_H-M_alt 'P 4/m b m'
_space_group_IT_number 127
_space_group_name_Hall '-P 4 2ab'
_cell_length_a 7.2234
_cell_length_b 7.2234
_cell_length_c 3.1982
_cell_angle_alpha 90.00
_cell_angle_beta 90.00
_cell_angle_gamma 90.00
loop_
_atom_site_label
_atom_site_fract_x
_atom_site_fract_y
_atom_site_fract_z
Hf1 0.0000 0.0000 0.0000
Zr1 0.1791 0.3209 0.5000
Be1 0.1115 0.6115 0.0000
```

=====

This record from the Alexandria database describes a relaxed Be5Hg4 crystal. The functional is GGA-PBEsol.

Output
DFT formation energy: 0.36 eV per atom

Cell and atoms, written as CIF:
```
data_Be5Hg4
_space_group_name_H-M_alt 'I 4/m m m'
_space_group_IT_number 139
_space_group_name_Hall '-I 4 2'
_cell_length_a 8.3030
_cell_length_b 8.3030
_cell_length_c 3.7161
_cell_angle_alpha 90.00
_cell_angle_beta 90.00
_cell_angle_gamma 90.00
loop_
_atom_site_label
_atom_site_fract_x
_atom_site_fract_y
_atom_site_fract_z
Be1 0.0000 0.0000 0.0000
Be2 0.1387 0.1387 0.5000
Hg1 0.0000 0.2993 0.0000
```

=====

Number 1: DFT total energy -9.33 eV/atom. Number 2: DFT total energy -8.70 eV/atom. Number 3: DFT total energy -6.52 eV/atom. Number 4: DFT total energy -7.61 eV/atom. Number 5: DFT total energy -7.63 eV/atom. Number 6: DFT total energy -8.18 eV/atom. Number 7: DFT total energy -7.02 eV/atom. Number 8: DFT total energy -6.99 eV/atom. Number 9: DFT total energy -7.24 eV/atom. Number 10: DFT total energy -2.86 eV/atom. Number 11: DFT total energy -4.58 eV/atom. Number 12: DFT total energy -7.42 eV/atom. Number 13: DFT total energy -6.50 eV/atom. Number 14: DFT total energy -5.85 eV/atom. Number 15: DFT total energy -6.35 eV/atom. Number 16: DFT total energy -5.58 eV/atom. Number 17: DFT total energy -7.00 eV/atom. Number 18: DFT total energy -6.83 eV/atom. Number 19: DFT total energy -7.36 eV/atom. Number 20: DFT total energy -2.11 eV/atom.